DFT (PBE-GGA) results for crystalline CdIn12Bi3 at its relaxed geometry.

Geometry as POSCAR:
```
CdIn12Bi3
1.0
4.984 0.000 0.000
0.000 4.984 0.000
0.000 0.000 18.287
Cd In Bi
1 12 3
Direct
0.000 0.000 0.000
0.000 0.500 0.118
0.000 0.500 0.372
0.000 0.500 0.628
0.000 0.500 0.882
0.500 0.000 0.118
0.500 0.000 0.372
0.500 0.000 0.628
0.500 0.000 0.882
0.500 0.500 0.000
0.500 0.500 0.246
0.500 0.500 0.500
0.500 0.500 0.754
0.000 0.000 0.244
0.000 0.000 0.500
0.000 0.000 0.756
```

Properties
**Magnetic moment**: 0.00 μB/cell
**Energy**: -2.814 eV per atom